Computed, not measured: a geometry-optimized CeNpPt3 structure at the GGA-PBE level of DFT.

a b c (Å): 5.221 5.247 9.024
angles (deg): 106.90 90.00 90.00
Last column: magnetic moment on the atom in μB.
Fractional positions:
Pt  0.750  0.443  0.391  -0.06
Pt  0.250  0.557  0.609  -0.06
Pt  0.250  0.052  0.609  -0.06
Pt  0.500  0.000  0.000  -0.06
Pt  0.000  0.000  0.000  -0.06
Pt  0.750  0.948  0.391  -0.06
Np  0.750  0.553  0.105  3.96
Np  0.250  0.447  0.895  3.96
Ce  0.250  0.153  0.307  0.49
Ce  0.750  0.847  0.693  0.49

Summary:
Theoretical density, Mg/m³: 13.5
E, eV/atom: -7.9383
Symmetry: Cmcm (63)
Size of the total moment, μB per formula unit: 4.8
Crystal system: orthorhombic

***

Computed, not measured: a geometry-optimized CeNpPt4 structure at the GGA-PBE level of DFT.

a b c (Å): 5.468 5.468 5.468
angles (deg): 60.00 60.00 60.00
Last column: magnetic moment on the atom in μB.
Fractional positions:
Pt  0.625  0.625  0.124  -0.05
Pt  0.625  0.625  0.625  -0.05
Pt  0.625  0.124  0.625  -0.05
Pt  0.124  0.625  0.625  -0.05
Np  0.000  0.000  0.000  3.94
Ce  0.250  0.250  0.250  0.81

Summary:
Theoretical density, Mg/m³: 16.6
E, eV/atom: -7.9998
Symmetry: F-43m (216)
Size of the total moment, μB per formula unit: 5.0
Crystal system: cubic

***

Computed, not measured: a geometry-optimized CeNpRuPt structure at the GGA-PBE level of DFT.

a b c (Å): 4.903 4.903 4.903
angles (deg): 60.00 60.00 60.00
Last column: magnetic moment on the atom in μB.
Fractional positions:
Pt  0.250  0.250  0.250  -0.10
Ce  0.500  0.500  0.500  0.63
Np  0.000  0.000  0.000  3.73
Ru  0.750  0.750  0.750  -0.51

Summary:
Theoretical density, Mg/m³: 13.4
E, eV/atom: -8.9267
Symmetry: F-43m (216)
Size of the total moment, μB per formula unit: 4.2
Crystal system: cubic

***

Computed, not measured: a geometry-optimized CeNpZnPt structure at the GGA-PBE level of DFT.

a b c (Å): 4.818 4.818 4.818
angles (deg): 60.00 60.00 60.00
Last column: magnetic moment on the atom in μB.
Fractional positions:
Zn  0.250  0.250  0.250  -0.02
Np  0.750  0.750  0.750  3.90
Pt  0.000  0.000  0.000  -0.11
Ce  0.500  0.500  0.500  0.99

Summary:
Theoretical density, Mg/m³: 13.4
E, eV/atom: -6.9859
Symmetry: F-43m (216)
Size of the total moment, μB per formula unit: 5.1
Crystal system: cubic

***

Computed, not measured: a geometry-optimized Ce2PuNp structure at the GGA-PBE level of DFT.

a b c (Å): 4.472 4.661 4.661
angles (deg): 90.00 90.00 90.00
Last column: magnetic moment on the atom in μB.
Fractional positions:
Ce  0.000  0.000  0.500  -0.10
Ce  0.000  0.500  0.000  -0.10
Pu  0.500  0.500  0.500  5.07
Np  0.500  0.000  0.000  -3.59

Summary:
Theoretical density, Mg/m³: 13.0
E, eV/atom: -9.5592
Symmetry: P4/mmm (123)
Size of the total moment, μB per formula unit: 1.2
Crystal system: tetragonal

***

Computed, not measured: a geometry-optimized CePu3Np4S8 structure at the GGA-PBE level of DFT.

a b c (Å): 7.842 7.882 7.865
angles (deg): 120.08 119.91 90.00
Last column: magnetic moment on the atom in μB.
Fractional positions:
S  0.747  0.246  0.494  0.01
S  0.249  0.246  0.499  0.04
S  0.749  0.757  0.005  0.06
S  0.253  0.754  0.506  0.01
S  0.251  0.243  0.995  0.06
S  0.751  0.754  0.501  0.04
S  0.744  0.243  0.995  0.06
S  0.256  0.757  0.005  0.06
Np  0.000  0.000  0.500  -3.79
Np  0.500  0.000  0.000  -3.76
Np  0.000  0.000  0.000  -3.81
Np  0.500  0.000  0.500  -3.79
Pu  0.000  0.500  0.500  5.18
Pu  0.500  0.500  0.500  5.18
Pu  0.500  0.500  0.000  -5.18
Ce  0.000  0.500  0.000  -0.39

Summary:
Theoretical density, Mg/m³: 10.0
E, eV/atom: -9.9528
ΔE_f (raw), eV/atom: -1.596
Symmetry: C2/m (12)
Size of the total moment, μB per formula unit: 11.1
Crystal system: monoclinic

***

In states/eV/f.u., the density of states at the Fermi level values for the records above are, in order, 11.59; 14.62; 9.09; 6.85; 16.01; 48.19.